Material: Cs2LaNdO4
Method: DFT, PBE-GGA
State: optimized geometry

The calculation puts the formation energy without anion corrections at -2.541 eV per atom. The raw total energy comes out at -6.445 eV/atom. The volume is 169 Å³ per cell.

The structure belongs to space group P2/m (No. 10); the cell edges are 6.487, 3.745 and 7.280 Å and the angles 90.00°, 107.31° and 90.00°. The inequivalent atoms are Cs at (0.000, 0.000, 0.000), Cs at (0.500, 0.500, 0.000), La at (0.000, 0.500, 0.500), Nd at (0.500, 0.000, 0.500), O at (0.227, 0.000, 0.669) and O at (0.280, 0.500, 0.330).